Record 1
VASP calculation (PBE) on a geometry-optimized AgAs2Pd structure.

energy above the lowest structure with this stoichiometry: 0.72 eV per formula unit
D(E_F): 0.37 states/eV per atom
theoretical density: 6.858 g/cm3
calculated volume: 22.0 Å³ per atom

Cell: 6.507 6.507 8.330 Å, 90.00 90.00 90.00°
Space group I-42d (No. 122)
Inequivalent atoms, fractional coordinates:
Ag 0.000 0.000 0.000 (multiplicity 4)
As 0.229 0.250 0.625 (multiplicity 8)
Pd 0.000 0.000 0.500 (multiplicity 4)

=====

Record 2
VASP calculation (PBE) on a geometry-optimized Ag2AsPd structure.

D(E_F): 0.46 states/eV per atom
E: -0.275 Ry/atom
theoretical density: 8.858 g/cm3
calculated volume: 18.6 Å³ per atom

Cell: 7.506 7.506 5.285 Å, 90.00 90.00 90.00°
Space group I-42d (No. 122)
Inequivalent atoms, fractional coordinates:
Ag 0.233 0.250 0.125 (multiplicity 8)
As 0.000 0.000 0.000 (multiplicity 4)
Pd 0.000 0.000 0.500 (multiplicity 4)

=====

Record 3
VASP calculation (PBE) on a geometry-optimized AgAsPd2 structure.

D(E_F): 0.55 states/eV per atom
E: -0.338 Ry/atom
theoretical density: 10.058 g/cm3
calculated volume: 16.3 Å³ per atom

Cell: 4.651 4.651 3.020 Å, 90.00 90.00 90.00°
Space group P4/mmm (No. 123)
Inequivalent atoms, fractional coordinates:
Ag 0.000 0.000 0.000 (multiplicity 1)
As 0.500 0.500 0.000 (multiplicity 1)
Pd 0.000 0.500 0.500 (multiplicity 2)

=====

Record 4
VASP calculation (PBE) on a geometry-optimized Ag3AsPd structure.

energy above the lowest structure with this stoichiometry: 0.00 eV per formula unit
D(E_F): 0.08 states/eV per atom
theoretical density: 7.359 g/cm3
calculated volume: 22.8 Å³ per atom

Cell: 4.848 4.848 4.848 Å, 90.00 90.00 90.00°
Space group Pm-3m (No. 221)
Inequivalent atoms, fractional coordinates:
Ag 0.000 0.000 0.500 (multiplicity 3)
As 0.000 0.000 0.000 (multiplicity 1)
Pd 0.500 0.500 0.500 (multiplicity 1)

=====

Record 5
VASP calculation (PBE) on a geometry-optimized AgAsPd2 structure.

D(E_F): 0.37 states/eV per atom
E: -0.343 Ry/atom
theoretical density: 9.976 g/cm3
calculated volume: 16.5 Å³ per atom

Cell: 3.161 3.161 6.589 Å, 90.00 90.00 90.00°
Space group P4/mmm (No. 123)
Inequivalent atoms, fractional coordinates:
Ag 0.000 0.000 0.000 (multiplicity 1)
As 0.000 0.000 0.500 (multiplicity 1)
Pd 0.500 0.500 0.273 (multiplicity 2)

=====

Record 6
VASP calculation (PBE) on a geometry-optimized Ag2AsPd8 structure.

D(E_F): 0.76 states/eV per atom
E: -0.354 Ry/atom
theoretical density: 10.528 g/cm3
calculated volume: 16.4 Å³ per atom

Cell: 14.691 4.602 5.792 Å, 90.00 113.10 90.00°
Space group C2/m (No. 12)
Inequivalent atoms, fractional coordinates:
Ag 0.186 0.000 0.185 (multiplicity 4)
As 0.000 0.500 0.500 (multiplicity 2)
Pd 0.000 0.000 0.250 (multiplicity 4)
Pd 0.136 0.500 0.897 (multiplicity 4)
Pd 0.137 0.500 0.378 (multiplicity 4)
Pd 0.182 0.000 0.682 (multiplicity 4)

=====

Record 7
VASP calculation (PBE) on a geometry-optimized Ag2AsPd structure.

D(E_F): 0.44 states/eV per atom
E: -0.266 Ry/atom
theoretical density: 8.966 g/cm3
calculated volume: 18.4 Å³ per atom

Cell: 2.8788 2.8788 30.7391 Å, 90.00 90.00 120.00°
Space group R-3m (No. 166, hexagonal axes)
Inequivalent atoms, fractional coordinates:
Ag 0.0000 0.0000 0.0875 (multiplicity 6)
As 0.0000 0.0000 0.5000 (multiplicity 3)
Pd 0.0000 0.0000 0.0000 (multiplicity 3)

=====

Record 8
VASP calculation (PBE) on a geometry-optimized AgAs2Pd2 structure.

energy above the lowest structure with this stoichiometry: 0.00 eV per formula unit
D(E_F): 0.45 states/eV per atom
theoretical density: 8.955 g/cm3
calculated volume: 17.5 Å³ per atom

Cell: 7.406 7.406 3.181 Å, 90.00 90.00 90.00°
Space group P4/mbm (No. 127)
Inequivalent atoms, fractional coordinates:
Ag 0.000 0.000 0.000 (multiplicity 2)
As 0.158 0.342 0.500 (multiplicity 4)
Pd 0.138 0.638 0.000 (multiplicity 4)

=====

Record 9
VASP calculation (PBE) on a geometry-optimized AgAs2Pd5 structure.

D(E_F): 0.51 states/eV per atom
E: -0.369 Ry/atom
theoretical density: 9.799 g/cm3
calculated volume: 16.7 Å³ per atom

Cell: 3.333 7.289 11.019 Å, 90.00 90.00 90.00°
Space group Immm (No. 71)
Inequivalent atoms, fractional coordinates:
Ag 0.000 0.000 0.000 (multiplicity 2)
As 0.000 0.500 0.222 (multiplicity 4)
Pd 0.000 0.243 0.363 (multiplicity 8)
Pd 0.000 0.500 0.000 (multiplicity 2)

=====

Record 10
VASP calculation (PBE) on a geometry-optimized AgAs2Pd7 structure.

D(E_F): 0.45 states/eV per atom
E: -0.376 Ry/atom
theoretical density: 9.984 g/cm3
calculated volume: 16.7 Å³ per atom

Cell: 4.065 4.065 20.183 Å, 90.00 90.00 90.00°
Space group I4/mmm (No. 139)
Inequivalent atoms, fractional coordinates:
Ag 0.000 0.000 0.000 (multiplicity 2)
As 0.000 0.000 0.329 (multiplicity 4)
Pd 0.000 0.000 0.500 (multiplicity 2)
Pd 0.000 0.500 0.101 (multiplicity 8)
Pd 0.000 0.500 0.250 (multiplicity 4)

=====

Record 11
VASP calculation (PBE) on a geometry-optimized Ag2As2Pd structure.

D(E_F): 0.33 states/eV per atom
E: -0.297 Ry/atom
theoretical density: 7.874 g/cm3
calculated volume: 19.9 Å³ per atom

Cell: 6.385 6.385 4.883 Å, 90.00 90.00 90.00°
Space group P4/mbm (No. 127)
Inequivalent atoms, fractional coordinates:
Ag 0.236 0.264 0.000 (multiplicity 4)
As 0.137 0.363 0.500 (multiplicity 4)
Pd 0.000 0.000 0.500 (multiplicity 2)

=====

Record 12
VASP calculation (PBE) on a geometry-optimized AgAsPd2 structure.

D(E_F): 0.39 states/eV per atom
E: -0.334 Ry/atom
theoretical density: 9.258 g/cm3
calculated volume: 17.7 Å³ per atom

Cell: 7.195 7.195 5.483 Å, 90.00 90.00 90.00°
Space group I-42d (No. 122)
Inequivalent atoms, fractional coordinates:
Ag 0.000 0.000 0.000 (multiplicity 4)
As 0.000 0.000 0.500 (multiplicity 4)
Pd 0.206 0.750 0.625 (multiplicity 8)

=====

> Number 11 is which compound?

Ag2As2Pd